1.
VASP calculation (PBE) on a relaxed structure of Pm2Tl2Ag.

Unit cell a=6.226 b=6.226 c=11.086 alpha=112.71 beta=112.71 gamma=45.59
Positions (direct):
Pm (0.030, 0.030, 0.344)
Pm (0.172, 0.172, 0.097)
Pm (0.828, 0.828, 0.903)
Pm (0.970, 0.970, 0.656)
Tl (0.359, 0.359, 0.414)
Tl (0.462, 0.462, 0.124)
Tl (0.538, 0.538, 0.876)
Tl (0.641, 0.641, 0.586)
Ag (0.280, 0.280, 0.662)
Ag (0.720, 0.720, 0.338)

## Properties
Magnetic moment: 0.00 μB per atom
Theoretical density: 9.61 g/cm³
Formation enthalpy at 0 K: -0.30 eV per atom
Calculated volume: 27.88 A^3/atom

---

2.
VASP calculation (PBE) on a relaxed structure of PmTlAg3.

Unit cell a=14.632 b=14.632 c=3.411 alpha=90.00 beta=90.00 gamma=161.20
Positions (direct):
Pm (0.178, 0.822, 0.000)
Pm (0.822, 0.178, 0.000)
Tl (0.376, 0.624, 0.500)
Tl (0.624, 0.376, 0.500)
Ag (0.053, 0.947, 0.500)
Ag (0.274, 0.726, 0.500)
Ag (0.454, 0.546, 0.000)
Ag (0.546, 0.454, 0.000)
Ag (0.726, 0.274, 0.500)
Ag (0.947, 0.053, 0.500)

## Properties
Magnetic moment: 0.00 μB per atom
Theoretical density: 9.50 g/cm³
Formation enthalpy at 0 K: -0.01 eV per atom
Calculated volume: 23.54 A^3/atom

---

3.
VASP calculation (PBE) on a relaxed structure of Pm6Tl2Ag.

Unit cell a=4.507 b=8.426 c=8.426 alpha=120.07 beta=90.00 gamma=90.00
Positions (direct):
Pm (0.000, 0.000, 0.000)
Pm (0.000, 0.480, 0.741)
Pm (0.000, 0.741, 0.480)
Pm (0.500, 0.145, 0.740)
Pm (0.500, 0.336, 0.336)
Pm (0.500, 0.740, 0.145)
Tl (0.000, 0.074, 0.407)
Tl (0.000, 0.407, 0.074)
Ag (0.500, 0.740, 0.740)

## Properties
Magnetic moment: 0.00 μB per atom
Theoretical density: 8.31 g/cm³
Formation enthalpy at 0 K: -0.20 eV per atom
Calculated volume: 30.77 A^3/atom

---

4.
VASP calculation (PBE) on a relaxed structure of Pm3Tl3Ag2.

Unit cell a=9.711 b=9.711 c=9.711 alpha=152.48 beta=150.21 gamma=41.00
Positions (direct):
Pm (0.000, 0.000, 0.000)
Pm (0.358, 0.858, 0.500)
Pm (0.642, 0.142, 0.500)
Tl (0.140, 0.640, 0.500)
Tl (0.500, 0.500, 0.000)
Tl (0.860, 0.360, 0.500)
Ag (0.246, 0.246, 0.000)
Ag (0.754, 0.754, 0.000)

## Properties
Magnetic moment: 0.00 μB per atom
Theoretical density: 10.00 g/cm³
Formation enthalpy at 0 K: -0.29 eV per atom
Calculated volume: 26.22 A^3/atom

---

5.
VASP calculation (PBE) on a relaxed structure of Pm4TlAg3.

Unit cell a=3.803 b=4.931 c=11.722 alpha=90.00 beta=90.00 gamma=90.00
Positions (direct):
Pm (0.000, 0.000, 0.000)
Pm (0.000, 0.500, 0.280)
Pm (0.500, 0.000, 0.483)
Pm (0.500, 0.500, 0.792)
Tl (0.000, 0.000, 0.718)
Ag (0.000, 0.500, 0.556)
Ag (0.500, 0.000, 0.214)
Ag (0.500, 0.500, 0.066)

## Properties
Magnetic moment: 0.00 μB per atom
Theoretical density: 8.37 g/cm³
Formation enthalpy at 0 K: -0.26 eV per atom
Calculated volume: 27.48 A^3/atom

---

6.
VASP calculation (PBE) on a relaxed structure of Pm2TmTl2Ag2.

Unit cell a=9.582 b=9.582 c=9.582 alpha=29.50 beta=29.50 gamma=29.50
Positions (direct):
Pm (0.124, 0.124, 0.124)
Pm (0.876, 0.876, 0.876)
Tm (0.000, 0.000, 0.000)
Tl (0.262, 0.262, 0.262)
Tl (0.738, 0.738, 0.738)
Ag (0.387, 0.387, 0.387)
Ag (0.613, 0.613, 0.613)

## Properties
Magnetic moment: 0.00 μB per atom
Theoretical density: 9.53 g/cm³
Formation enthalpy at 0 K: -0.17 eV per atom
Calculated volume: 26.97 A^3/atom